1.
A plane-wave DFT calculation with PBE was carried out for a geometry-optimized SrEuGePb structure.

a b c (Å): 5.5736 5.5736 5.5736
angles (deg): 60.00 60.00 60.00
Closest atoms and distances in Å follow each position.
Fractional positions:
Ge 0.2500 0.2500 0.2500  4 Eu 3.41, 4 Sr 3.41
Eu 0.0000 0.0000 0.0000  4 Pb 3.41, 4 Ge 3.41
Sr 0.5000 0.5000 0.5000  4 Ge 3.41, 4 Pb 3.41
Pb 0.7500 0.7500 0.7500  4 Sr 3.41, 4 Eu 3.41

Computed properties:
* symmetry: No. 216
* energy relative to the elements: -1.807 eV/f.u.
* spin magnetization: 6.977 Bohr magnetons per cell

=====

2.
A plane-wave DFT calculation with PBE was carried out for a geometry-optimized EuGePd structure.

a b c (Å): 6.0271 6.1635 8.0338
angles (deg): 63.49 90.00 90.00
Closest atoms and distances in Å follow each position.
Fractional positions:
Eu 0.3645 0.2022 0.6206  3 Pd 3.06-3.29, 5 Ge 3.20-3.28
Eu 0.6355 0.7978 0.3794  3 Pd 3.06-3.29, 5 Ge 3.20-3.28
Eu 0.8645 0.7978 0.8794  3 Pd 3.06-3.29, 5 Ge 3.20-3.28
Eu 0.1355 0.2022 0.1206  3 Pd 3.06-3.29, 5 Ge 3.20-3.28
Ge 0.3632 0.7728 0.0466  3 Pd 2.47-2.54
Ge 0.6368 0.2272 0.9534  3 Pd 2.47-2.54
Ge 0.1368 0.7728 0.5466  3 Pd 2.47-2.54
Ge 0.8632 0.2272 0.4534  3 Pd 2.47-2.54
Pd 0.3981 0.6066 0.8118  3 Ge 2.47-2.54
Pd 0.8981 0.3934 0.6882  3 Ge 2.47-2.54
Pd 0.1019 0.6066 0.3118  3 Ge 2.47-2.54
Pd 0.6019 0.3934 0.1882  3 Ge 2.47-2.54

Computed properties:
* symmetry: No. 14
* energy relative to the elements: -2.362 eV/f.u.
* spin magnetization: 28.005 Bohr magnetons per cell

=====

3.
A plane-wave DFT calculation with PBE was carried out for a geometry-optimized EuGe2Pd structure.

a b c (Å): 4.2851 4.2851 5.8417
angles (deg): 68.48 68.48 60.00
Closest atoms and distances in Å follow each position.
Fractional positions:
Pd 0.5000 0.5000 0.5000  6 Ge 2.60
Eu 0.0000 0.0000 0.0000  8 Ge 3.09-3.44
Ge 0.7832 0.7832 0.6505  3 Pd 2.60
Ge 0.2168 0.2168 0.3495  3 Pd 2.60

Computed properties:
* symmetry: No. 166
* energy relative to the elements: -2.702 eV/f.u.
* spin magnetization: 6.926 Bohr magnetons per cell

=====

4.
A plane-wave DFT calculation with PBE was carried out for a geometry-optimized EuGePd2 structure.

a b c (Å): 5.7460 7.1038 7.7004
angles (deg): 90.00 90.00 90.00
Closest atoms and distances in Å follow each position.
Fractional positions:
Pd 0.9050 0.9459 0.1713  3 Ge 2.57-2.68, 1 Pd 2.78
Pd 0.9050 0.5541 0.1713  3 Ge 2.57-2.68, 1 Pd 2.78
Pd 0.0950 0.4459 0.8287  3 Ge 2.57-2.68, 1 Pd 2.78
Pd 0.5950 0.5541 0.6713  3 Ge 2.57-2.68, 1 Pd 2.78
Pd 0.0950 0.0541 0.8287  3 Ge 2.57-2.68, 1 Pd 2.78
Pd 0.4050 0.4459 0.3287  3 Ge 2.57-2.68, 1 Pd 2.78
Pd 0.5950 0.9459 0.6713  3 Ge 2.57-2.68, 1 Pd 2.78
Pd 0.4050 0.0541 0.3287  3 Ge 2.57-2.68, 1 Pd 2.78
Eu 0.8630 0.2500 0.4727  8 Pd 3.06-3.35, 3 Ge 3.09-3.12
Eu 0.6370 0.2500 0.9727  8 Pd 3.06-3.35, 3 Ge 3.09-3.12
Eu 0.1370 0.7500 0.5273  8 Pd 3.06-3.35, 3 Ge 3.09-3.12
Eu 0.3630 0.7500 0.0273  8 Pd 3.06-3.35, 3 Ge 3.09-3.12
Ge 0.3599 0.2500 0.6249  6 Pd 2.57-2.68
Ge 0.6401 0.7500 0.3751  6 Pd 2.57-2.68
Ge 0.1401 0.2500 0.1249  6 Pd 2.57-2.68
Ge 0.8599 0.7500 0.8751  6 Pd 2.57-2.68

Computed properties:
* symmetry: No. 62
* energy relative to the elements: -3.070 eV/f.u.
* spin magnetization: 27.341 Bohr magnetons per cell

=====

5.
A plane-wave DFT calculation with PBE was carried out for a geometry-optimized EuGePd structure.

a b c (Å): 4.0316 4.3970 4.3970
angles (deg): 120.00 90.00 90.00
Closest atoms and distances in Å follow each position.
Fractional positions:
Pd 0.1666 0.6667 0.3333  3 Ge 2.54
Eu 0.6667 0.3333 0.6667  6 Pd 3.24, 6 Ge 3.24
Ge 0.1667 0.0000 0.0000  3 Pd 2.54

Computed properties:
* symmetry: No. 187
* energy relative to the elements: -2.324 eV/f.u.
* spin magnetization: 6.851 Bohr magnetons per cell

=====

6.
A plane-wave DFT calculation with PBE was carried out for a geometry-optimized Eu2GePd structure.

a b c (Å): 3.6437 5.2119 5.2119
angles (deg): 90.00 90.00 90.00
Closest atoms and distances in Å follow each position.
Fractional positions:
Pd 0.5000 0.5000 0.5000  8 Eu 3.18
Eu 0.0000 0.0000 0.5000  4 Ge 3.18, 4 Pd 3.18
Eu 0.0000 0.5000 0.0000  4 Pd 3.18, 4 Ge 3.18
Ge 0.5000 0.0000 0.0000  8 Eu 3.18

Computed properties:
* symmetry: No. 123
* energy relative to the elements: -2.379 eV/f.u.
* spin magnetization: 13.809 Bohr magnetons per cell

=====

7.
A plane-wave DFT calculation with PBE was carried out for a geometry-optimized EuGePd2 structure.

a b c (Å): 4.3868 4.3868 5.6738
angles (deg): 67.26 67.26 60.00
Closest atoms and distances in Å follow each position.
Fractional positions:
Pd 0.2040 0.2040 0.3880  3 Ge 2.60, 3 Pd 2.78
Pd 0.7960 0.7960 0.6120  3 Ge 2.60, 3 Pd 2.78
Ge 0.5000 0.5000 0.5000  6 Pd 2.60
Eu 0.0000 0.0000 0.0000  8 Pd 3.11-3.21

Computed properties:
* symmetry: No. 166
* energy relative to the elements: -2.721 eV/f.u.
* spin magnetization: 6.990 Bohr magnetons per cell

=====

8.
A plane-wave DFT calculation with PBE was carried out for a geometry-optimized EuGe3Pd structure.

a b c (Å): 4.4795 4.4795 6.0249
angles (deg): 111.79 111.79 90.02
Closest atoms and distances in Å follow each position.
Fractional positions:
Ge 0.2468 0.7466 0.4933  2 Pd 2.51, 2 Ge 2.71
Ge 0.7466 0.2468 0.4933  2 Pd 2.51, 2 Ge 2.71
Ge 0.5975 0.5975 0.1954  1 Pd 2.47, 4 Ge 2.71
Pd 0.3568 0.3568 0.7139  5 Ge 2.47-2.51
Eu 0.0046 0.0046 0.0086  12 Ge 3.31-3.47, 5 Pd 3.51-3.62

Computed properties:
* symmetry: No. 107
* energy relative to the elements: -2.934 eV/f.u.
* spin magnetization: 6.933 Bohr magnetons per cell

=====

9.
A plane-wave DFT calculation with PBE was carried out for a geometry-optimized PmEuGePd structure.

a b c (Å): 5.1637 5.1637 5.1637
angles (deg): 60.00 60.00 60.00
Closest atoms and distances in Å follow each position.
Fractional positions:
Ge 0.2500 0.2500 0.2500  4 Pm 3.16, 4 Eu 3.16
Eu 0.0000 0.0000 0.0000  4 Ge 3.16, 4 Pd 3.16
Pm 0.5000 0.5000 0.5000  4 Pd 3.16, 4 Ge 3.16
Pd 0.7500 0.7500 0.7500  4 Eu 3.16, 4 Pm 3.16

Computed properties:
* symmetry: No. 216
* energy relative to the elements: -2.685 eV/f.u.
* spin magnetization: 6.843 Bohr magnetons per cell

=====

10.
A plane-wave DFT calculation with PBE was carried out for a geometry-optimized PrEuGePd structure.

a b c (Å): 5.2064 5.2064 5.2064
angles (deg): 60.00 60.00 60.00
Closest atoms and distances in Å follow each position.
Fractional positions:
Eu 0.0000 0.0000 0.0000  4 Pd 3.19, 4 Ge 3.19
Pr 0.5000 0.5000 0.5000  4 Ge 3.19, 4 Pd 3.19
Pd 0.2500 0.2500 0.2500  4 Pr 3.19, 4 Eu 3.19
Ge 0.7500 0.7500 0.7500  4 Eu 3.19, 4 Pr 3.19

Computed properties:
* symmetry: No. 216
* energy relative to the elements: -2.623 eV/f.u.
* spin magnetization: 6.848 Bohr magnetons per cell

=====

11.
A plane-wave DFT calculation with PBE was carried out for a geometry-optimized EuPuGePd structure.

a b c (Å): 5.1082 5.1082 5.1082
angles (deg): 60.00 60.00 60.00
Closest atoms and distances in Å follow each position.
Fractional positions:
Eu 0.5000 0.5000 0.5000  4 Pd 3.13, 4 Ge 3.13
Pu 0.0000 0.0000 0.0000  4 Ge 3.13, 4 Pd 3.13
Ge 0.2500 0.2500 0.2500  4 Pu 3.13, 4 Eu 3.13
Pd 0.7500 0.7500 0.7500  4 Eu 3.13, 4 Pu 3.13

Computed properties:
* symmetry: No. 216
* energy relative to the elements: -1.726 eV/f.u.
* spin magnetization: 1.735 Bohr magnetons per cell

=====

12.
A plane-wave DFT calculation with PBE was carried out for a geometry-optimized SmEuGePd structure.

a b c (Å): 5.1491 5.1491 5.1491
angles (deg): 60.00 60.00 60.00
Closest atoms and distances in Å follow each position.
Fractional positions:
Pd 0.5000 0.5000 0.5000  4 Sm 3.15, 4 Eu 3.15
Ge 0.0000 0.0000 0.0000  4 Eu 3.15, 4 Sm 3.15
Eu 0.2500 0.2500 0.2500  4 Ge 3.15, 4 Pd 3.15
Sm 0.7500 0.7500 0.7500  4 Ge 3.15, 4 Pd 3.15

Computed properties:
* symmetry: No. 216
* energy relative to the elements: -2.700 eV/f.u.
* spin magnetization: 6.842 Bohr magnetons per cell